A plane-wave DFT calculation with GGA-PBE was carried out for crystalline PrSmBiTe at its relaxed geometry.

The total magnetization comes out at 0.0 μB per formula unit. As for the density of states at the Fermi level: 1.8 states/eV/f.u. For the mass density, the calculation gives 7.8 g cm⁻³. The electronic total energy is -63.916 eV per cell.

It has space group R3m (No. 160, hexagonal axes), with a = 4.5562 Å, b = 4.5562 Å, c = 22.1963 Å, α = 90.00°, β = 90.00° and γ = 120.00°. The inequivalent atoms are Pr at (0.0000, 0.0000, 0.0000), Sm at (0.0000, 0.0000, 0.4993), Bi at (0.0000, 0.0000, 0.7516) and Te at (0.0000, 0.0000, 0.2475).

A plane-wave DFT calculation with GGA-PBE was carried out for crystalline BiPd2Se3 at its relaxed geometry.

The total magnetization comes out at 0.0 μB per formula unit. As for the density of states at the Fermi level: 3.8 states/eV/f.u. For the mass density, the calculation gives 7.9 g cm⁻³. The electronic total energy is -157.260 eV per cell.

It has space group R-3m (No. 166, hexagonal axes), with a = 7.4209 Å, b = 7.4209 Å, c = 17.3489 Å, α = 90.00°, β = 90.00° and γ = 120.00°. The inequivalent atoms are Bi at (0.0000, 0.0000, 0.2192), Pd at (0.0000, 0.0000, 0.0000), Pd at (0.0000, 0.5000, 0.0000) and Se at (0.0016, 0.5008, 0.7446).

A plane-wave DFT calculation with GGA-PBE was carried out for crystalline HoPu2NpAs4 at its relaxed geometry.

As for the formation energy: -1.03 eV per atom. The total magnetization comes out at 3.7 μB per formula unit. As for the density of states at the Fermi level: 33.0 states/eV/f.u. For the mass density, the calculation gives 10.0 g cm⁻³.

It has space group P2/m (No. 10), with a = 7.1231 Å, b = 4.1129 Å, c = 7.1255 Å, α = 90.00°, β = 109.48° and γ = 90.00°. The inequivalent atoms are Ho at (0.0000, 0.0000, 0.0000), Pu at (0.0000, 0.5000, 0.5000), Pu at (0.5000, 0.0000, 0.5000), Np at (0.5000, 0.5000, 0.0000), As at (0.2506, 0.0000, 0.7532) and As at (0.2515, 0.5000, 0.2477).

A plane-wave DFT calculation with GGA-PBE was carried out for crystalline Sm4SnPd3 at its relaxed geometry.

As for the formation energy: -0.79 eV per atom. The total magnetization comes out at 0.0 μB per formula unit. As for the density of states at the Fermi level: 5.7 states/eV/f.u. For the mass density, the calculation gives 8.5 g cm⁻³.

It has space group Pmm2 (No. 25), with a = 4.0039 Å, b = 4.5792 Å, c = 11.0191 Å, α = 90.00°, β = 90.00° and γ = 90.00°. The inequivalent atoms are Sm at (0.0000, 0.0000, 0.0000), Sm at (0.0000, 0.5000, 0.2629), Sm at (0.5000, 0.0000, 0.4767), Sm at (0.5000, 0.5000, 0.7739), Sn at (0.0000, 0.0000, 0.7062), Pd at (0.0000, 0.5000, 0.5389), Pd at (0.5000, 0.0000, 0.2108) and Pd at (0.5000, 0.5000, 0.0476).

A plane-wave DFT calculation with GGA-PBE was carried out for crystalline Sm4Bi2H9 at its relaxed geometry.

The total magnetization comes out at 0.0 μB per formula unit. As for the density of states at the Fermi level: 3.4 states/eV/f.u. For the mass density, the calculation gives 8.1 g cm⁻³. The electronic total energy is -65.055 eV per cell.

It has space group P-3m1 (No. 164), with a = 3.7698 Å, b = 3.7698 Å, c = 17.2194 Å, α = 90.00°, β = 90.00° and γ = 120.00°. The inequivalent atoms are Sm at (0.3333, 0.6667, 0.0952), Sm at (0.3333, 0.6667, 0.4108), Bi at (0.3333, 0.6667, 0.7543), H at (0.0000, 0.0000, 0.0867), H at (0.0000, 0.0000, 0.3749), H at (0.0000, 0.0000, 0.5000), H at (0.3333, 0.6667, 0.5478) and H at (0.3333, 0.6667, 0.9599).

A plane-wave DFT calculation with GGA-PBE was carried out for crystalline Be2CdBr at its relaxed geometry.

The total magnetization comes out at 0.0 μB per formula unit. As for the density of states at the Fermi level: 3.1 states/eV/f.u. For the mass density, the calculation gives 4.2 g cm⁻³. The electronic total energy is -30.357 eV per cell.

It has space group I-42d (No. 122), with a = 5.9186 Å, b = 5.9186 Å, c = 9.4628 Å, α = 90.00°, β = 90.00° and γ = 90.00°. The inequivalent atoms are Be at (0.2406, 0.2500, 0.1250), Cd at (0.0000, 0.0000, 0.5000) and Br at (0.0000, 0.0000, 0.0000).

A plane-wave DFT calculation with GGA-PBE was carried out for crystalline AlVAs2Se at its relaxed geometry.

The total magnetization comes out at 0.0 μB per formula unit. As for the density of states at the Fermi level: 2.9 states/eV/f.u. For the mass density, the calculation gives 4.6 g cm⁻³. The electronic total energy is -24.533 eV per cell.

It has space group P4/mmm (No. 123), with a = 4.8176 Å, b = 4.8176 Å, c = 4.7535 Å, α = 90.00°, β = 90.00° and γ = 90.00°. The inequivalent atoms are Al at (0.0000, 0.0000, 0.0000), V at (0.5000, 0.5000, 0.5000), As at (0.0000, 0.5000, 0.5000) and Se at (0.5000, 0.5000, 0.0000).

A plane-wave DFT calculation with GGA-PBE was carried out for crystalline Ce2PrHoTe5 at its relaxed geometry.

The total magnetization comes out at 3.4 μB per formula unit. As for the density of states at the Fermi level: 19.8 states/eV/f.u. For the mass density, the calculation gives 5.7 g cm⁻³. The electronic total energy is -44.695 eV per cell.

It has space group P4/mmm (No. 123), with a = 5.4960 Å, b = 5.4960 Å, c = 11.8322 Å, α = 90.00°, β = 90.00° and γ = 90.00°. The inequivalent atoms are Ce at (0.0000, 0.0000, 0.1747), Pr at (0.5000, 0.5000, 0.5000), Ho at (0.5000, 0.5000, 0.0000), Te at (0.0000, 0.0000, 0.5000), Te at (0.0000, 0.5000, 0.0000) and Te at (0.5000, 0.5000, 0.2495).

A plane-wave DFT calculation with GGA-PBE was carried out for crystalline AlMoIr2 at its relaxed geometry.

As for the formation energy: -0.30 eV per atom. The total magnetization comes out at 0.0 μB per formula unit. As for the density of states at the Fermi level: 2.8 states/eV/f.u. For the mass density, the calculation gives 14.5 g cm⁻³.

It has space group Immm (No. 71), with a = 2.8954 Å, b = 4.5613 Å, c = 8.8251 Å, α = 90.00°, β = 90.00° and γ = 90.00°. The inequivalent atoms are Al at (0.0000, 0.0000, 0.0000), Mo at (0.0000, 0.0000, 0.5000) and Ir at (0.0000, 0.5000, 0.2691).

A plane-wave DFT calculation with GGA-PBE was carried out for crystalline Li2TbCe2Ge2 at its relaxed geometry.

As for the formation energy: -0.48 eV per atom. The total magnetization comes out at 2.0 μB per formula unit. As for the density of states at the Fermi level: 9.8 states/eV/f.u. For the mass density, the calculation gives 6.8 g cm⁻³.

It has space group R-3m (No. 166, hexagonal axes), with a = 4.3908 Å, b = 4.3908 Å, c = 26.3638 Å, α = 90.00°, β = 90.00° and γ = 120.00°. The inequivalent atoms are Li at (0.0000, 0.0000, 0.0943), Tb at (0.0000, 0.0000, 0.5000), Ce at (0.0000, 0.0000, 0.3587) and Ge at (0.0000, 0.0000, 0.2343).

A plane-wave DFT calculation with GGA-PBE was carried out for crystalline La3ScSb at its relaxed geometry.

The total magnetization comes out at 1.6 μB per formula unit. As for the density of states at the Fermi level: 11.1 states/eV/f.u. For the mass density, the calculation gives 4.4 g cm⁻³. The electronic total energy is -24.695 eV per cell.

It has space group Pm-3m (No. 221), with a = 6.0201 Å, b = 6.0201 Å, c = 6.0201 Å, α = 90.00°, β = 90.00° and γ = 90.00°. The inequivalent atoms are La at (0.0000, 0.0000, 0.5000), Sc at (0.5000, 0.5000, 0.5000) and Sb at (0.0000, 0.0000, 0.0000).

A plane-wave DFT calculation with GGA-PBE was carried out for crystalline BaTaSe2 at its relaxed geometry.

The total magnetization comes out at 0.9 μB per formula unit. As for the density of states at the Fermi level: 2.9 states/eV/f.u. For the mass density, the calculation gives 7.8 g cm⁻³. The electronic total energy is -48.073 eV per cell.

It has space group C2/m (No. 12), with a = 7.5350 Å, b = 3.9335 Å, c = 7.1679 Å, α = 90.00°, β = 107.23° and γ = 90.00°. The inequivalent atoms are Ba at (0.0000, 0.0000, 0.0000), Ta at (0.0000, 0.5000, 0.5000) and Se at (0.2318, 0.0000, 0.6871).

A plane-wave DFT calculation with GGA-PBE was carried out for crystalline CaPAuS2 at its relaxed geometry.

The total magnetization comes out at 1.9 μB per formula unit. As for the density of states at the Fermi level: 4.7 states/eV/f.u. For the mass density, the calculation gives 3.9 g cm⁻³. The electronic total energy is -14.994 eV per cell.

It has space group P4/mmm (No. 123), with a = 5.1567 Å, b = 5.1567 Å, c = 5.3578 Å, α = 90.00°, β = 90.00° and γ = 90.00°. The inequivalent atoms are Ca at (0.0000, 0.0000, 0.0000), P at (0.0000, 0.0000, 0.5000), Au at (0.5000, 0.5000, 0.5000) and S at (0.0000, 0.5000, 0.0000).

A plane-wave DFT calculation with GGA-PBE was carried out for crystalline Pm4OsI2Cl at its relaxed geometry.

The total magnetization comes out at 0.0 μB per formula unit. As for the density of states at the Fermi level: 4.7 states/eV/f.u. For the mass density, the calculation gives 7.1 g cm⁻³. The electronic total energy is -42.064 eV per cell.

It has space group P2/m (No. 10), with a = 7.5783 Å, b = 4.1715 Å, c = 8.2686 Å, α = 90.00°, β = 107.48° and γ = 90.00°. The inequivalent atoms are Pm at (0.1998, 0.0000, 0.1915), Pm at (0.2472, 0.5000, 0.8121), Os at (0.0000, 0.5000, 0.0000), I at (0.0000, 0.0000, 0.5000), I at (0.5000, 0.5000, 0.5000) and Cl at (0.5000, 0.0000, 0.0000).

A plane-wave DFT calculation with GGA-PBE was carried out for crystalline PrDy2Y2Er at its relaxed geometry.

As for the formation energy: 0.27 eV per atom. The total magnetization comes out at 0.0 μB per formula unit. As for the density of states at the Fermi level: 10.0 states/eV/f.u. For the mass density, the calculation gives 6.8 g cm⁻³.

It has space group Pnnm (No. 58), with a = 6.5233 Å, b = 17.8729 Å, c = 3.4215 Å, α = 90.00°, β = 90.00° and γ = 90.00°. The inequivalent atoms are Pr at (0.0000, 0.0000, 0.0000), Dy at (0.2159, 0.3533, 0.5000), Y at (0.2187, 0.1874, 0.0000) and Er at (0.0000, 0.5000, 0.0000).

A plane-wave DFT calculation with GGA-PBE was carried out for crystalline U3Te12Pb5 at its relaxed geometry.

The total magnetization comes out at 6.7 μB per formula unit. As for the density of states at the Fermi level: 30.5 states/eV/f.u. For the mass density, the calculation gives 7.1 g cm⁻³. The electronic total energy is -763.649 eV per cell.

It has space group Ia-3d (No. 230), with a = 18.2819 Å, b = 18.2819 Å, c = 18.2819 Å, α = 90.00°, β = 90.00° and γ = 90.00°. The inequivalent atoms are U at (0.0000, 0.2500, 0.1250), Te at (0.0118, 0.0733, 0.6553), Pb at (0.0000, 0.0000, 0.0000) and Pb at (0.0000, 0.2500, 0.3750).

A plane-wave DFT calculation with GGA-PBE was carried out for crystalline Zr2AgAu at its relaxed geometry.

As for the formation energy: -0.24 eV per atom. The total magnetization comes out at 0.0 μB per formula unit. As for the density of states at the Fermi level: 5.1 states/eV/f.u. For the mass density, the calculation gives 10.2 g cm⁻³.

It has space group Cmmm (No. 65), with a = 5.9886 Å, b = 8.4808 Å, c = 3.1350 Å, α = 90.00°, β = 90.00° and γ = 90.00°. The inequivalent atoms are Zr at (0.2500, 0.2500, 0.0000), Ag at (0.0000, 0.0000, 0.5000) and Au at (0.0000, 0.5000, 0.5000).

A plane-wave DFT calculation with GGA-PBE was carried out for crystalline Nb2RuO at its relaxed geometry.

The total magnetization comes out at 0.0 μB per formula unit. As for the density of states at the Fermi level: 3.7 states/eV/f.u. For the mass density, the calculation gives 9.1 g cm⁻³. The electronic total energy is -112.199 eV per cell.

It has space group R-3m (No. 166, hexagonal axes), with a = 2.8727 Å, b = 2.8727 Å, c = 23.2279 Å, α = 90.00°, β = 90.00° and γ = 120.00°. The inequivalent atoms are Nb at (0.0000, 0.0000, 0.2351), Ru at (0.0000, 0.0000, 0.0000) and O at (0.0000, 0.0000, 0.5000).

A plane-wave DFT calculation with GGA-PBE was carried out for crystalline CaMnInRe2 at its relaxed geometry.

As for the formation energy: 1.09 eV per atom. The total magnetization comes out at 0.0 μB per formula unit. As for the density of states at the Fermi level: 6.3 states/eV/f.u. For the mass density, the calculation gives 9.5 g cm⁻³.

It has space group P4/mmm (No. 123), with a = 4.5004 Å, b = 4.5004 Å, c = 5.0263 Å, α = 90.00°, β = 90.00° and γ = 90.00°. The inequivalent atoms are Ca at (0.0000, 0.0000, 0.0000), Mn at (0.0000, 0.0000, 0.5000), In at (0.5000, 0.5000, 0.0000) and Re at (0.0000, 0.5000, 0.5000).

A plane-wave DFT calculation with GGA-PBE was carried out for crystalline AcSm2DyY6 at its relaxed geometry.

As for the formation energy: 0.12 eV per atom. The total magnetization comes out at 0.0 μB per formula unit. As for the density of states at the Fermi level: 16.2 states/eV/f.u. For the mass density, the calculation gives 5.9 g cm⁻³.

It has space group C2/c (No. 15), with a = 9.2592 Å, b = 15.3623 Å, c = 9.6669 Å, α = 90.00°, β = 96.04° and γ = 90.00°. The inequivalent atoms are Ac at (0.0000, 0.0272, 0.2500), Sm at (0.2450, 0.4439, 0.4505), Dy at (0.0000, 0.4110, 0.7500), Y at (0.0609, 0.1904, 0.9418), Y at (0.1015, 0.3914, 0.1145) and Y at (0.2119, 0.2276, 0.3170).